*one*
Density functional theory data (PBE-GGA) for a relaxed CeEr crystal.

## Properties
**V**: 176.5 Å³/cell
**Magnetic moment**: 0.272 μB/f.u.

Unit cell a=16.7097 b=16.7097 c=16.7097 alpha=12.04 beta=12.04 gamma=12.04
Fractional positions:
Ce 0.0000 0.0000 0.0000
Ce 0.1131 0.1131 0.1131
Ce 0.6146 0.6146 0.6146
Er 0.2255 0.2255 0.2255
Er 0.5019 0.5019 0.5019
Er 0.7242 0.7242 0.7242

***

*two*
Density functional theory data (PBE-GGA) for a relaxed CeEr crystal.

## Properties
**V**: 62.1 Å³/cell
**Magnetic moment**: 0.803 μB/f.u.

Unit cell a=3.9610 b=3.9610 c=3.9610 alpha=90.00 beta=90.00 gamma=90.00
Fractional positions:
Ce 0.0000 0.0000 0.0000
Er 0.5000 0.5000 0.5000

***

Tell me which of them is the most stable. Sure, it is *one*.

***

*one*
Density functional theory data (PBE-GGA) for a relaxed Ce3Er crystal.

## Properties
**V**: 113.3 Å³/cell
**Magnetic moment**: 1.120 μB/f.u.

Unit cell a=4.8387 b=4.8387 c=4.8387 alpha=90.00 beta=90.00 gamma=90.00
Fractional positions:
Ce 0.0000 0.0000 0.5000
Ce 0.0000 0.5000 0.0000
Ce 0.5000 0.0000 0.0000
Er 0.5000 0.5000 0.5000

***

*two*
Density functional theory data (PBE-GGA) for a relaxed Ce3Er crystal.

## Properties
**V**: 111.9 Å³/cell
**Magnetic moment**: 0.006 μB/f.u.

Unit cell a=5.9415 b=5.9415 c=5.9415 alpha=132.49 beta=132.49 gamma=69.46
Fractional positions:
Ce 0.0000 0.0000 0.0000
Ce 0.2500 0.7500 0.5000
Ce 0.7500 0.2500 0.5000
Er 0.5000 0.5000 0.0000

***

Tell me which of them is the most stable. Sure, it is *two*.

***

*one*
Density functional theory data (PBE-GGA) for a relaxed Ce3Er crystal.

## Properties
**V**: 122.2 Å³/cell
**Magnetic moment**: 4.919 μB/f.u.

Unit cell a=5.5696 b=5.5696 c=5.5696 alpha=60.00 beta=60.00 gamma=60.00
Fractional positions:
Ce 0.0000 0.0000 0.0000
Ce 0.2500 0.2500 0.2500
Ce 0.7500 0.7500 0.7500
Er 0.5000 0.5000 0.5000

***

*two*
Density functional theory data (PBE-GGA) for a relaxed Ce3Er crystal.

## Properties
**V**: 111.0 Å³/cell
**Magnetic moment**: 0.000 μB/f.u.

Unit cell a=3.3064 b=4.4070 c=7.6197 alpha=90.00 beta=90.00 gamma=90.00
Fractional positions:
Ce 0.0000 0.0000 0.0000
Ce 0.0000 0.5000 0.2337
Ce 0.5000 0.5000 0.7954
Er 0.5000 0.0000 0.4870

***

*three*
Density functional theory data (PBE-GGA) for a relaxed Ce3Er crystal.

## Properties
**V**: 113.3 Å³/cell
**Magnetic moment**: 0.277 μB/f.u.

Unit cell a=6.5905 b=6.5905 c=6.5905 alpha=150.25 beta=62.50 gamma=126.41
Fractional positions:
Ce 0.0000 0.0000 0.0000
Ce 0.1139 0.3751 0.7388
Ce 0.6363 0.3751 0.2612
Er 0.4983 0.9983 0.5000

***

Tell me which of them is the most stable. Sure, it is *three*.